No. 1
## CsCaAuS2 (PBE-GGA)

Data for a geometry-optimized CsCaAuS2 structure.

Calculated values
Polymorph energy (0 for the lowest one), meV/atom: 0
ΔE_f (raw), meV per atom: -1250
Final energy, eV/atom: -4.1275

Cell lengths 7.4390, 15.3995, 5.6552 Å; angles 90.00, 90.00, 90.00 degrees
Space group Cmme (No. 67)
Inequivalent atoms, fractional coordinates:
Cs 0.0000 0.2500 0.2187 [4 per cell]
Ca 0.2500 0.0000 0.5000 [4 per cell]
Au 0.0000 0.0000 0.0000 [4 per cell]
S 0.0000 0.1090 0.7112 [8 per cell]

---

No. 2
## Nd2TmGa2Ag2 (PBE-GGA)

Data for a geometry-optimized Nd2TmGa2Ag2 structure.

Calculated values
Formation energy from the elements, eV per formula unit: -2.59
Final energy, eV/atom: -4.0502

Cell lengths 4.6112, 4.6112, 27.5724 Å; angles 90.00, 90.00, 120.00 degrees
Space group R-3m (No. 166, hexagonal axes)
Inequivalent atoms, fractional coordinates:
Nd 0.0000 0.0000 0.1242 [6 per cell]
Tm 0.0000 0.0000 0.0000 [3 per cell]
Ga 0.0000 0.0000 0.2651 [6 per cell]
Ag 0.0000 0.0000 0.3895 [6 per cell]

---

No. 3
## TaIrBr2 (PBE-GGA)

Data for a geometry-optimized TaIrBr2 structure.

Calculated values
Polymorph energy (0 for the lowest one), meV/atom: 1139
ΔE_f (raw), meV per atom: 705
Final energy, eV/atom: -5.3101

Cell lengths 5.9611, 9.0264, 3.1787 Å; angles 90.00, 118.36, 90.00 degrees
Space group C2/m (No. 12)
Inequivalent atoms, fractional coordinates:
Ta 0.0000 0.0000 0.0000 [2 per cell]
Ir 0.0000 0.5000 0.0000 [2 per cell]
Br 0.2500 0.2500 0.0000 [4 per cell]

---

No. 4
## LaNi2Pt2 (PBE-GGA)

Data for a geometry-optimized LaNi2Pt2 structure.

Calculated values
Polymorph energy (0 for the lowest one), meV/atom: 51
Formation energy from the elements, eV per formula unit: -2.32
Final energy, eV/atom: -6.1790

Cell lengths 4.0458, 4.0458, 10.7595 Å; angles 90.00, 90.00, 90.00 degrees
Space group I4/mmm (No. 139)
Inequivalent atoms, fractional coordinates:
La 0.0000 0.0000 0.0000 [2 per cell]
Ni 0.0000 0.0000 0.3952 [4 per cell]
Pt 0.0000 0.5000 0.2500 [4 per cell]

---

What did the fourth record say?
## LaNi2Pt2 (PBE-GGA)

Data for a geometry-optimized LaNi2Pt2 structure.

Calculated values
Polymorph energy (0 for the lowest one), meV/atom: 51
Formation energy from the elements, eV per formula unit: -2.32
Final energy, eV/atom: -6.1790

Cell lengths 4.0458, 4.0458, 10.7595 Å; angles 90.00, 90.00, 90.00 degrees
Space group I4/mmm (No. 139)
Inequivalent atoms, fractional coordinates:
La 0.0000 0.0000 0.0000 [2 per cell]
Ni 0.0000 0.0000 0.3952 [4 per cell]
Pt 0.0000 0.5000 0.2500 [4 per cell]

---

> Among the records above, which one has the highest final energy?

Nd2TmGa2Ag2

---

> Which formula does entry 2 have?

Nd2TmGa2Ag2

---

> Which value of final energy does entry 1 give?

-4.1275 eV/atom